Entry 1:
Density functional theory data (PBE) for an optimized crystal structure of BeAl6Cu10.

Cell and atoms, written as POSCAR:
```
BeAl6Cu10
1.0
7.1260 0.0000 0.0000
-3.5630 6.1713 0.0000
0.0000 0.0000 5.0630
Be Al Cu
1 6 10
Cartesian
0.0000 0.0000 0.0000
-1.2352 2.1395 4.1697
-2.3278 4.0319 0.8933
2.4704 0.0000 4.1697
1.2352 2.1395 0.8933
4.6556 0.0000 0.8933
2.3278 4.0319 4.1697
-1.0693 1.8521 1.6884
-2.4937 4.3192 3.3746
2.1387 0.0000 1.6884
1.0693 1.8521 3.3746
0.0000 4.1142 0.0000
0.0000 4.1142 2.5315
3.5630 2.0571 0.0000
3.5630 2.0571 2.5315
4.9874 0.0000 3.3746
2.4937 4.3192 1.6884
```

Values from the calculation:
The volume comes out at 13.10 Å³/atom. The total energy is -4.053 eV per atom. The energy of formation from the pure elements is -103 meV per atom.

---

Entry 2:
Density functional theory data (PBE) for an optimized crystal structure of Be2Al2Cu.

Cell and atoms, written as POSCAR:
```
Be2Al2Cu
1.0
5.8342 0.0000 0.0000
0.0000 5.8342 0.0000
0.0000 0.0000 3.5859
Be Al Cu
4 4 2
Cartesian
0.7544 2.1627 0.0000
2.1627 5.0798 0.0000
3.6715 0.7544 0.0000
5.0798 3.6715 0.0000
0.9837 3.9008 1.7929
1.9334 0.9837 1.7929
3.9008 4.8505 1.7929
4.8505 1.9334 1.7929
0.0000 0.0000 0.0000
2.9171 2.9171 0.0000
```

Values from the calculation:
The volume comes out at 12.21 Å³/atom. The total energy is -3.715 eV per atom. The energy of formation from the pure elements is 92 meV per atom.

---

Entry 3:
Density functional theory data (PBE) for an optimized crystal structure of BeAl3Cu.

Cell and atoms, written as POSCAR:
```
BeAl3Cu
1.0
4.5231 0.0000 0.0000
0.0000 4.5231 0.0000
0.0000 0.0000 4.5231
Be Al Cu
1 3 1
Cartesian
0.0000 0.0000 0.0000
0.0000 2.2616 2.2616
2.2616 0.0000 2.2616
2.2616 2.2616 0.0000
2.2616 2.2616 2.2616
```

Values from the calculation:
The volume comes out at 18.51 Å³/atom. The total energy is -3.183 eV per atom. The energy of formation from the pure elements is 627 meV per atom. The value obtained for the excess energy over the best structure of this formula in the dataset is 148 meV per atom.